Entry 1:
VASP calculation (PBE-GGA) on crystalline SrRe4Se7 at its relaxed geometry.

For the uncorrected formation energy, the calculation gives -0.175 eV per atom. Its density of states at the Fermi level is 0.366 states/eV per atom. The total energy comes out at -6.4971 eV/atom. Its total magnetization is 0.00 μB per cell.

The structure belongs to space group Pmn2_1 (No. 31); the cell edges are 17.9618, 5.2524 and 5.3257 Å and the angles 90.00°, 90.00° and 90.00°. The asymmetric unit holds Sr at (0.0000, 0.1809, 0.0000), Re at (0.1393, 0.6745, 0.3883), Re at (0.2418, 0.6310, 0.0111), Se at (0.0000, 0.7882, 0.4628), Se at (0.1026, 0.6861, 0.9461), Se at (0.1245, 0.2125, 0.5057) and Se at (0.2429, 0.1697, 0.0679).



Entry 2:
VASP calculation (PBE-GGA) on crystalline SrRe2Se at its relaxed geometry.

For the uncorrected formation energy, the calculation gives 0.674 eV per atom. Its density of states at the Fermi level is 1.532 states/eV per atom. The total energy comes out at -6.8415 eV/atom. Its total magnetization is 0.00 μB per cell.

The structure belongs to space group I4_1/amd (No. 141, origin choice 2); the cell edges are 4.8730, 4.8730 and 17.4366 Å and the angles 90.00°, 90.00° and 90.00°. The asymmetric unit holds Sr at (0.0000, 0.2500, 0.3750), Re at (0.0000, 0.0000, 0.0000) and Se at (0.0000, 0.2500, 0.8750).



Entry 3:
VASP calculation (PBE-GGA) on crystalline SrReSe at its relaxed geometry.

Its distance to the lowest polymorph of the same formula is 6 meV/atom. For the uncorrected formation energy, the calculation gives 0.131 eV per atom. Its density of states at the Fermi level is 0.962 states/eV per atom. The total energy comes out at -5.7400 eV/atom. Its total magnetization is 0.40 μB per cell.

The structure belongs to space group P3m1 (No. 156); the cell edges are 4.1180, 4.1180 and 5.1091 Å and the angles 90.00°, 90.00° and 120.00°. The asymmetric unit holds Sr at (0.0000, 0.0000, 0.0000), Re at (0.3333, 0.6667, 0.4786) and Se at (0.6667, 0.3333, 0.5653).